## w
The following is a PBEsol calculation of a geometry-optimized Ca2CoMo structure, from Alexandria via LeMat-Bulk.

abc: 3.6286 3.6286 6.2927
angles: 90.00 90.00 90.00
Sites, in units of the cell vectors:
Mo: 0.5000 0.5000 0.5000
Co: 0.5000 0.5000 0.0000
Ca: 0.0000 0.0000 0.2365
Ca: 0.0000 0.0000 0.7635

Properties
Total magnetization, μB/atom: 0.98
V, Å³/cell: 83
Space group: P4/mmm

=====

## x
The following is a PBEsol calculation of a geometry-optimized Ca2CoMo structure, from Alexandria via LeMat-Bulk.

abc: 2.8188 4.7088 5.7671
angles: 90.00 90.00 90.00
Sites, in units of the cell vectors:
Ca: 0.0000 0.0000 0.2454
Ca: 0.0000 0.0000 0.7546
Co: 0.5000 0.5000 0.0000
Mo: 0.5000 0.5000 0.5000

Properties
Total magnetization, μB/atom: 0.43
V, Å³/cell: 77
Space group: Pmmm

=====

x is the most stable structure; the next one sits 72 meV/atom above it.

=====

## w
The following is a PBEsol calculation of a geometry-optimized CaCoNi2 structure, from Alexandria via LeMat-Bulk.

abc: 3.7810 3.7810 4.6639
angles: 113.91 113.91 90.00
Sites, in units of the cell vectors:
Co: 0.2500 0.7500 0.5000
Ni: 0.0000 0.0000 0.0000
Ni: 0.7500 0.2500 0.5000
Ca: 0.5000 0.5000 0.0000

Properties
Total magnetization, μB/atom: 0.60
V, Å³/cell: 55
Space group: I-4m2

=====

## x
The following is a PBEsol calculation of a geometry-optimized CaCoNi2 structure, from Alexandria via LeMat-Bulk.

abc: 2.9429 2.9429 6.5190
angles: 90.00 90.00 90.00
Sites, in units of the cell vectors:
Ni: 0.5000 0.5000 0.1902
Ni: 0.0000 0.0000 0.9941
Co: 0.5000 0.5000 0.8189
Ca: 0.0000 0.0000 0.4968

Properties
Total magnetization, μB/atom: 0.50
V, Å³/cell: 56
Space group: P4mm

=====

## y
The following is a PBEsol calculation of a geometry-optimized CaCoNi2 structure, from Alexandria via LeMat-Bulk.

abc: 3.9782 3.9779 5.3337
angles: 111.91 90.00 120.00
Sites, in units of the cell vectors:
Ca: 0.5004 0.0007 0.5018
Ni: 0.9965 0.9930 0.9892
Ni: 0.6882 0.3764 0.0644
Co: 0.3150 0.6299 0.9447

Properties
Total magnetization, μB/atom: 0.49
V, Å³/cell: 66
Space group: R3m

=====

## z
The following is a PBEsol calculation of a geometry-optimized CaCoNi2 structure, from Alexandria via LeMat-Bulk.

abc: 3.6754 3.8364 3.8364
angles: 90.00 90.00 90.00
Sites, in units of the cell vectors:
Ca: 0.5000 0.5000 0.5000
Co: 0.5000 0.0000 0.0000
Ni: 0.0000 0.0000 0.5000
Ni: 0.0000 0.5000 0.0000

Properties
Total magnetization, μB/atom: 0.55
V, Å³/cell: 54
Space group: P4/mmm

=====

y is the most stable structure; the next one sits 225 meV/atom above it.

=====

## w
The following is a PBEsol calculation of a geometry-optimized CaCo2Ru structure, from Alexandria via LeMat-Bulk.

abc: 2.9246 2.9246 6.9412
angles: 90.00 90.00 90.00
Sites, in units of the cell vectors:
Co: 0.5000 0.5000 0.2307
Co: 0.0000 0.0000 0.0737
Ca: 0.5000 0.5000 0.7581
Ru: 0.0000 0.0000 0.4375

Properties
Total magnetization, μB/atom: 0.78
V, Å³/cell: 59
Space group: P4mm

=====

## x
The following is a PBEsol calculation of a geometry-optimized CaCo2Ru structure, from Alexandria via LeMat-Bulk.

abc: 2.9790 4.3482 4.3482
angles: 90.00 90.00 90.00
Sites, in units of the cell vectors:
Co: 0.0000 0.0000 0.5000
Co: 0.0000 0.5000 0.0000
Ca: 0.5000 0.0000 0.0000
Ru: 0.5000 0.5000 0.5000

Properties
Total magnetization, μB/atom: 0.95
V, Å³/cell: 56
Space group: P4/mmm

=====

## y
The following is a PBEsol calculation of a geometry-optimized CaCo2Ru structure, from Alexandria via LeMat-Bulk.

abc: 3.0046 3.0046 6.6722
angles: 90.00 90.00 90.00
Sites, in units of the cell vectors:
Co: 0.0000 0.0000 0.8142
Co: 0.0000 0.0000 0.1858
Ru: 0.5000 0.5000 0.0000
Ca: 0.5000 0.5000 0.5000

Properties
Total magnetization, μB/atom: 0.66
V, Å³/cell: 60
Space group: P4/mmm

=====

y is the most stable structure; the next one sits 31 meV/atom above it.

=====

## w
The following is a PBEsol calculation of a geometry-optimized CaCoRu2 structure, from Alexandria via LeMat-Bulk.

abc: 4.3639 4.3639 4.3639
angles: 60.00 60.00 60.00
Sites, in units of the cell vectors:
Ru: 0.7500 0.7500 0.7500
Ru: 0.2500 0.2500 0.2500
Ca: 0.0000 0.0000 0.0000
Co: 0.5000 0.5000 0.5000

Properties
Total magnetization, μB/atom: 0.97
V, Å³/cell: 59
Space group: Fm-3m

=====

## x
The following is a PBEsol calculation of a geometry-optimized CaCoRu2 structure, from Alexandria via LeMat-Bulk.

abc: 3.1066 4.3349 4.3349
angles: 90.00 90.00 90.00
Sites, in units of the cell vectors:
Co: 0.5000 0.0000 0.0000
Ru: 0.0000 0.0000 0.5000
Ru: 0.0000 0.5000 0.0000
Ca: 0.5000 0.5000 0.5000

Properties
Total magnetization, μB/atom: 0.60
V, Å³/cell: 58
Space group: P4/mmm

=====

## y
The following is a PBEsol calculation of a geometry-optimized CaCoRu2 structure, from Alexandria via LeMat-Bulk.

abc: 2.7447 4.1443 5.5701
angles: 90.00 104.18 90.00
Sites, in units of the cell vectors:
Co: 0.0818 0.5000 0.7880
Ru: 0.7720 0.5000 0.1704
Ru: 0.1938 0.0000 0.0141
Ca: 0.4523 0.0000 0.5274

Properties
Total magnetization, μB/atom: 0.00
V, Å³/cell: 61
Space group: Pm

=====

y is the most stable structure; the next one sits 279 meV/atom above it.

=====

## w
The following is a PBEsol calculation of a geometry-optimized CaCoSe2 structure, from Alexandria via LeMat-Bulk.

abc: 5.9270 5.9270 5.9270
angles: 107.56 107.56 113.36
Sites, in units of the cell vectors:
Se: 0.1250 0.7073 0.0823
Se: 0.2927 0.3750 0.4177
Se: 0.6250 0.0427 0.9177
Se: 0.9573 0.8750 0.5823
Co: 0.0000 0.0000 0.0000
Co: 0.2500 0.7500 0.5000
Ca: 0.7500 0.2500 0.5000
Ca: 0.5000 0.5000 0.0000

Properties
Total magnetization, μB/atom: 0.21
V, Å³/cell: 160
Space group: I-42d

=====

## x
The following is a PBEsol calculation of a geometry-optimized CaCoSe2 structure, from Alexandria via LeMat-Bulk.

abc: 3.9944 4.1936 5.6347
angles: 90.00 110.82 90.00
Sites, in units of the cell vectors:
Co: 0.0751 0.5000 0.7749
Ca: 0.4229 0.0000 0.4712
Se: 0.8605 0.5000 0.3467
Se: 0.1415 0.0000 0.9071

Properties
Total magnetization, μB/atom: 0.32
V, Å³/cell: 88
Space group: Amm2

=====

w is the most stable structure; the next one sits 136 meV/atom above it.

=====

## w
The following is a PBEsol calculation of a geometry-optimized CaCoSe2 structure, from Alexandria via LeMat-Bulk.

abc: 3.8174 3.8174 6.4120
angles: 72.68 72.68 60.00
Sites, in units of the cell vectors:
Ca: 0.5000 0.5000 0.5000
Co: 0.0000 0.0000 0.0000
Se: 0.7305 0.7305 0.8085
Se: 0.2695 0.2695 0.1915

Properties
Total magnetization, μB/atom: 0.25
V, Å³/cell: 76
Space group: R-3m

=====

## x
The following is a PBEsol calculation of a geometry-optimized CaCoSe2 structure, from Alexandria via LeMat-Bulk.

abc: 4.3174 4.3174 7.8284
angles: 73.99 73.99 60.00
Sites, in units of the cell vectors:
Se: 0.9008 0.9008 0.2975
Se: 0.0992 0.0992 0.7025
Ca: 0.5000 0.5000 0.5000
Co: 0.0000 0.0000 0.0000

Properties
Total magnetization, μB/atom: 0.75
V, Å³/cell: 120
Space group: R-3m

=====

## y
The following is a PBEsol calculation of a geometry-optimized CaCoSe2 structure, from Alexandria via LeMat-Bulk.

abc: 3.4264 3.6071 6.8510
angles: 105.26 104.48 90.00
Sites, in units of the cell vectors:
Se: 0.2760 0.7760 0.5521
Se: 0.0644 0.0644 0.1287
Co: 0.7037 0.2037 0.4074
Ca: 0.4559 0.4559 0.9118

Properties
Total magnetization, μB/atom: 0.54
V, Å³/cell: 79
Space group: Imm2

=====

w is the most stable structure; the next one sits 201 meV/atom above it.

=====

## w
The following is a PBEsol calculation of a geometry-optimized CaCo2Tc structure, from Alexandria via LeMat-Bulk.

abc: 2.6266 4.6533 4.9848
angles: 106.04 105.28 90.00
Sites, in units of the cell vectors:
Co: 0.0332 0.0071 0.0665
Co: 0.7374 0.2873 0.4748
Ca: 0.2597 0.7892 0.5194
Tc: 0.4696 0.4164 0.9392

Properties
Total magnetization, μB/atom: 0.38
V, Å³/cell: 56
Space group: Cm

=====

## x
The following is a PBEsol calculation of a geometry-optimized CaCo2Tc structure, from Alexandria via LeMat-Bulk.

abc: 2.7572 4.5057 4.5057
angles: 89.98 90.00 90.00
Sites, in units of the cell vectors:
Tc: 0.5000 0.0000 0.0000
Co: 0.0000 0.0000 0.5000
Co: 0.0000 0.5000 0.0000
Ca: 0.5000 0.5000 0.5000

Properties
Total magnetization, μB/atom: 0.65
V, Å³/cell: 56
Space group: P4/mmm

=====

## y
The following is a PBEsol calculation of a geometry-optimized CaCo2Tc structure, from Alexandria via LeMat-Bulk.

abc: 2.7207 4.1898 5.1570
angles: 90.00 101.03 90.00
Sites, in units of the cell vectors:
Co: 0.8992 0.5000 0.2888
Co: 0.8469 0.0000 0.0110
Ca: 0.2522 0.5000 0.7980
Tc: 0.5017 0.0000 0.4021

Properties
Total magnetization, μB/atom: 0.30
V, Å³/cell: 58
Space group: Pm

=====

w is the most stable structure; the next one sits 19 meV/atom above it.

=====

## w
The following is a PBEsol calculation of a geometry-optimized CaCoTc2 structure, from Alexandria via LeMat-Bulk.

abc: 2.5824 5.1110 5.3223
angles: 115.36 98.04 102.35
Sites, in units of the cell vectors:
Ca: 0.5000 0.0000 0.0000
Tc: 0.0000 0.0000 0.5000
Tc: 0.5000 0.5000 0.5000
Co: 0.0000 0.5000 0.0000

Properties
Total magnetization, μB/atom: 0.36
V, Å³/cell: 60
Space group: C2/m

=====

## x
The following is a PBEsol calculation of a geometry-optimized CaCoTc2 structure, from Alexandria via LeMat-Bulk.

abc: 3.0611 4.2378 4.6438
angles: 90.00 90.00 90.00
Sites, in units of the cell vectors:
Co: 0.0000 0.5000 0.5000
Tc: 0.0000 0.0000 0.0000
Tc: 0.5000 0.5000 0.0000
Ca: 0.5000 0.0000 0.5000

Properties
Total magnetization, μB/atom: 0.27
V, Å³/cell: 60
Space group: Pmmm

=====

x is the most stable structure; the next one sits 17 meV/atom above it.

=====

## w
The following is a PBEsol calculation of a geometry-optimized CaYCo2 structure, from Alexandria via LeMat-Bulk.

abc: 3.8640 5.1552 5.5014
angles: 74.78 69.44 67.99
Sites, in units of the cell vectors:
Y: 0.0000 0.5000 0.5000
Co: 0.7503 0.0675 0.4320
Co: 0.2497 0.9325 0.5680
Ca: 0.5000 0.0000 0.0000

Properties
Total magnetization, μB/atom: 0.24
V, Å³/cell: 94
Space group: C2/m

=====

## x
The following is a PBEsol calculation of a geometry-optimized CaYCo2 structure, from Alexandria via LeMat-Bulk.

abc: 3.8673 3.8673 5.5560
angles: 110.37 110.37 90.00
Sites, in units of the cell vectors:
Co: 0.7500 0.2500 0.5000
Co: 0.0000 0.0000 0.0000
Ca: 0.2500 0.7500 0.5000
Y: 0.5000 0.5000 0.0000

Properties
Total magnetization, μB/atom: 0.33
V, Å³/cell: 72
Space group: I-4m2

=====

## y
The following is a PBEsol calculation of a geometry-optimized CaYCo2 structure, from Alexandria via LeMat-Bulk.

abc: 3.6817 4.1397 6.3199
angles: 109.12 106.93 90.00
Sites, in units of the cell vectors:
Ca: 0.2636 0.7636 0.5272
Co: 0.0683 0.0683 0.1367
Co: 0.6647 0.1647 0.3294
Y: 0.5033 0.5033 0.0066

Properties
Total magnetization, μB/atom: 0.41
V, Å³/cell: 87
Space group: Imm2

=====

## z
The following is a PBEsol calculation of a geometry-optimized CaYCo2 structure, from Alexandria via LeMat-Bulk.

abc: 4.6337 4.6337 4.6337
angles: 60.00 60.00 60.00
Sites, in units of the cell vectors:
Ca: 0.5000 0.5000 0.5000
Co: 0.7500 0.7500 0.7500
Co: 0.2500 0.2500 0.2500
Y: 0.0000 0.0000 0.0000

Properties
Total magnetization, μB/atom: 0.00
V, Å³/cell: 70
Space group: Fm-3m

=====

y is the most stable structure; the next one sits 11 meV/atom above it.

=====

## w
The following is a PBEsol calculation of a geometry-optimized CaCr structure, from Alexandria via LeMat-Bulk.

abc: 3.3230 6.6692 7.1126
angles: 113.93 90.00 104.43
Sites, in units of the cell vectors:
Ca: 0.9117 0.8234 0.9172
Ca: 0.6293 0.2586 0.7925
Ca: 0.6533 0.3066 0.3298
Cr: 0.9441 0.8883 0.3984
Cr: 0.3708 0.7417 0.5208
Cr: 0.3241 0.6481 0.2080

Properties
Total magnetization, μB/atom: 0.00
V, Å³/cell: 139
Space group: Cm

=====

## x
The following is a PBEsol calculation of a geometry-optimized CaCr structure, from Alexandria via LeMat-Bulk.

abc: 3.7057 3.7057 3.7057
angles: 90.00 90.00 90.00
Sites, in units of the cell vectors:
Cr: 0.5000 0.5000 0.5000
Ca: 0.0000 0.0000 0.0000

Properties
Total magnetization, μB/atom: 2.27
V, Å³/cell: 51
Space group: Pm-3m

=====

w is the most stable structure; the next one sits 202 meV/atom above it.

=====

## w
The following is a PBEsol calculation of a geometry-optimized Ca5Cr structure, from Alexandria via LeMat-Bulk.

abc: 6.2378 6.7416 6.7416
angles: 120.00 90.00 90.00
Sites, in units of the cell vectors:
Ca: 0.0000 0.6667 0.3333
Ca: 0.5000 0.0000 0.5000
Ca: 0.5000 0.5000 0.0000
Ca: 0.0000 0.3333 0.6667
Ca: 0.5000 0.5000 0.5000
Cr: 0.0000 0.0000 0.0000

Properties
Total magnetization, μB/atom: 0.87
V, Å³/cell: 246
Space group: P6/mmm

=====

## x
The following is a PBEsol calculation of a geometry-optimized Ca5Cr structure, from Alexandria via LeMat-Bulk.

abc: 3.8888 6.7161 9.0285
angles: 110.10 90.00 106.83
Sites, in units of the cell vectors:
Ca: 0.3316 0.6632 0.7521
Ca: 0.0266 0.0532 0.5945
Ca: 0.6943 0.3887 0.3888
Ca: 0.0572 0.1143 0.0255
Ca: 0.3623 0.7247 0.1836
Cr: 0.6946 0.3893 0.8890

Properties
Total magnetization, μB/atom: 0.77
V, Å³/cell: 211
Space group: C2/m

=====

x is the most stable structure; the next one sits 451 meV/atom above it.